# Na3InO

An optimized crystal structure of Na3InO (PBE, Alexandria).

Relative energy among the computed polymorphs ... 1133 meV per atom
Energy relative to the elements, uncorrected ... 573 meV per atom
Total DFT energy (no corrections) ... -1.758 eV per atom
Volume ... 193 Å³ per cell

CIF file:
```
data_Na3InO
_chemical_formula_sum 'Na3 In1 O1'
_symmetry_space_group_name_H-M 'P m -3 m'
_symmetry_Int_Tables_number 221
_symmetry_space_group_name_Hall '-P 4 2 3'
_cell_length_a 5.7752
_cell_length_b 5.7752
_cell_length_c 5.7752
_cell_angle_alpha 90.00
_cell_angle_beta 90.00
_cell_angle_gamma 90.00
loop_
_atom_site_label
_atom_site_type_symbol
_atom_site_fract_x
_atom_site_fract_y
_atom_site_fract_z
_atom_site_occupancy
Na1 Na 0.0000 0.0000 0.5000 1
In1 In 0.0000 0.0000 0.0000 1
O1 O 0.5000 0.5000 0.5000 1
```

=====

# Na3InO

An optimized crystal structure of Na3InO (PBE, Alexandria).

Relative energy among the computed polymorphs ... 0 meV per atom
Energy relative to the elements, uncorrected ... -560 meV per atom
Total DFT energy (no corrections) ... -2.891 eV per atom
Volume ... 109 Å³ per cell

CIF file:
```
data_Na3InO
_chemical_formula_sum 'Na3 In1 O1'
_symmetry_space_group_name_H-M 'P m -3 m'
_symmetry_Int_Tables_number 221
_symmetry_space_group_name_Hall '-P 4 2 3'
_cell_length_a 4.7733
_cell_length_b 4.7733
_cell_length_c 4.7733
_cell_angle_alpha 90.00
_cell_angle_beta 90.00
_cell_angle_gamma 90.00
loop_
_atom_site_label
_atom_site_type_symbol
_atom_site_fract_x
_atom_site_fract_y
_atom_site_fract_z
_atom_site_occupancy
Na1 Na 0.0000 0.0000 0.5000 1
In1 In 0.5000 0.5000 0.5000 1
O1 O 0.0000 0.0000 0.0000 1
```

=====

# Na8InO6

An optimized crystal structure of Na8InO6 (PBE, Alexandria).

Energy relative to the elements, uncorrected ... -1184 meV per atom
Total DFT energy (no corrections) ... -4.053 eV per atom
Volume ... 474 Å³ per cell

CIF file:
```
data_Na8InO6
_chemical_formula_sum 'Na16 In2 O12'
_symmetry_space_group_name_H-M 'P m n 21'
_symmetry_Int_Tables_number 31
_symmetry_space_group_name_Hall 'P 2ac -2'
_cell_length_a 6.7031
_cell_length_b 7.0709
_cell_length_c 9.9943
_cell_angle_alpha 90.00
_cell_angle_beta 90.00
_cell_angle_gamma 90.00
loop_
_atom_site_label
_atom_site_type_symbol
_atom_site_fract_x
_atom_site_fract_y
_atom_site_fract_z
_atom_site_occupancy
Na1 Na 0.0000 0.2484 0.0000 1
Na2 Na 0.0000 0.2494 0.4480 1
Na3 Na 0.2080 0.5549 0.7818 1
Na4 Na 0.2083 0.9458 0.7813 1
Na5 Na 0.2239 0.7492 0.1179 1
In1 In 0.0000 0.7497 0.4836 1
O1 O 0.0000 0.0032 0.5943 1
O2 O 0.0000 0.2499 0.2302 1
O3 O 0.0000 0.4963 0.5944 1
O4 O 0.0000 0.7507 0.9306 1
O5 O 0.2370 0.7497 0.3475 1
```

=====

# NaInO2

An optimized crystal structure of NaInO2 (PBE, Alexandria).

Energy relative to the elements, uncorrected ... -1587 meV per atom
Total DFT energy (no corrections) ... -5.080 eV per atom
Volume ... 159 Å³ per cell

CIF file:
```
data_NaInO2
_chemical_formula_sum 'Na3 In3 O6'
_symmetry_space_group_name_H-M 'R 3 m'
_symmetry_Int_Tables_number 160
_symmetry_space_group_name_Hall 'R 3 -2"'
_cell_length_a 3.2576
_cell_length_b 3.2576
_cell_length_c 17.2831
_cell_angle_alpha 90.00
_cell_angle_beta 90.00
_cell_angle_gamma 120.00
loop_
_atom_site_label
_atom_site_type_symbol
_atom_site_fract_x
_atom_site_fract_y
_atom_site_fract_z
_atom_site_occupancy
Na1 Na 0.0000 0.0000 0.0000 1
In1 In 0.0000 0.0000 0.8283 1
O1 O 0.0000 0.0000 0.2311 1
O2 O 0.0000 0.0000 0.4247 1
```

=====

# Na5In2O5

An optimized crystal structure of Na5In2O5 (PBE, Alexandria).

Energy relative to the elements, uncorrected ... -1337 meV per atom
Total DFT energy (no corrections) ... -4.409 eV per atom
Volume ... 358 Å³ per cell

CIF file:
```
data_Na5In2O5
_chemical_formula_sum 'Na10 In4 O10'
_symmetry_space_group_name_H-M 'C 1 2/m 1'
_symmetry_Int_Tables_number 12
_symmetry_space_group_name_Hall '-C 2y'
_cell_length_a 11.1729
_cell_length_b 3.3772
_cell_length_c 9.9588
_cell_angle_alpha 90.00
_cell_angle_beta 107.55
_cell_angle_gamma 90.00
loop_
_atom_site_label
_atom_site_type_symbol
_atom_site_fract_x
_atom_site_fract_y
_atom_site_fract_z
_atom_site_occupancy
Na1 Na 0.0000 0.0000 0.0000 1
Na2 Na 0.1604 0.0000 0.5641 1
Na3 Na 0.2419 0.0000 0.8756 1
In1 In 0.0342 0.5000 0.2918 1
O1 O 0.0000 0.5000 0.5000 1
O2 O 0.1056 0.5000 0.9018 1
O3 O 0.1640 0.0000 0.3089 1
```

=====

# NaIn2OsO8

An optimized crystal structure of NaIn2OsO8 (PBE, Alexandria).

Energy relative to the elements, uncorrected ... -1076 meV per atom
Total DFT energy (no corrections) ... -5.884 eV per atom
Volume ... 155 Å³ per cell

CIF file:
```
data_NaIn2OsO8
_chemical_formula_sum 'Na1 In2 Os1 O8'
_symmetry_space_group_name_H-M 'P 1 2/m 1'
_symmetry_Int_Tables_number 10
_symmetry_space_group_name_Hall '-P 2y'
_cell_length_a 4.5781
_cell_length_b 6.7501
_cell_length_c 5.0240
_cell_angle_alpha 90.00
_cell_angle_beta 92.09
_cell_angle_gamma 90.00
loop_
_atom_site_label
_atom_site_type_symbol
_atom_site_fract_x
_atom_site_fract_y
_atom_site_fract_z
_atom_site_occupancy
Na1 Na 0.0000 0.0000 0.0000 1
In1 In 0.5000 0.2513 0.5000 1
Os1 Os 0.0000 0.5000 0.0000 1
O1 O 0.2230 0.0000 0.4341 1
O2 O 0.2277 0.3046 0.8576 1
O3 O 0.2522 0.5000 0.3213 1
```

=====

# Na3InP2O8

An optimized crystal structure of Na3InP2O8 (PBE, Alexandria).

Energy relative to the elements, uncorrected ... -2154 meV per atom
Total DFT energy (no corrections) ... -6.238 eV per atom
Volume ... 693 Å³ per cell

CIF file:
```
data_Na3InP2O8
_chemical_formula_sum 'Na12 In4 P8 O32'
_symmetry_space_group_name_H-M 'P 1 21/c 1'
_symmetry_Int_Tables_number 14
_symmetry_space_group_name_Hall '-P 2ybc'
_cell_length_a 5.2138
_cell_length_b 18.4651
_cell_length_c 8.7301
_cell_angle_alpha 90.00
_cell_angle_beta 124.43
_cell_angle_gamma 90.00
loop_
_atom_site_label
_atom_site_type_symbol
_atom_site_fract_x
_atom_site_fract_y
_atom_site_fract_z
_atom_site_occupancy
Na1 Na 0.0476 0.0500 0.2902 1
Na2 Na 0.3031 0.6251 0.0154 1
Na3 Na 0.3972 0.1941 0.6959 1
In1 In 0.2044 0.1281 0.9869 1
P1 P 0.0846 0.7135 0.2814 1
P2 P 0.4864 0.5366 0.7170 1
O1 O 0.0201 0.6714 0.1131 1
O2 O 0.0807 0.7020 0.7524 1
O3 O 0.1723 0.1942 0.1839 1
O4 O 0.1820 0.5677 0.5445 1
O5 O 0.2280 0.0635 0.7846 1
O6 O 0.4158 0.6975 0.4592 1
O7 O 0.4714 0.0615 0.6036 1
O8 O 0.4880 0.0486 0.2123 1
```

=====

# Na2InP2O6

An optimized crystal structure of Na2InP2O6 (PBE, Alexandria).

Energy relative to the elements, uncorrected ... -1731 meV per atom
Total DFT energy (no corrections) ... -5.908 eV per atom
Volume ... 154 Å³ per cell

CIF file:
```
data_Na2InP2O6
_chemical_formula_sum 'Na2 In1 P2 O6'
_symmetry_space_group_name_H-M 'P -3'
_symmetry_Int_Tables_number 147
_symmetry_space_group_name_Hall '-P 3'
_cell_length_a 5.4703
_cell_length_b 5.4703
_cell_length_c 5.9367
_cell_angle_alpha 90.00
_cell_angle_beta 90.00
_cell_angle_gamma 120.00
loop_
_atom_site_label
_atom_site_type_symbol
_atom_site_fract_x
_atom_site_fract_y
_atom_site_fract_z
_atom_site_occupancy
Na1 Na 0.3333 0.6667 0.3687 1
In1 In 0.0000 0.0000 0.0000 1
P1 P 0.3333 0.6667 0.8744 1
O1 O 0.1279 0.7644 0.7695 1
```

=====

Question: Number 8 is which compound?
Answer: Na2InP2O6

=====

Please write out number 6 again, unchanged.
# NaIn2OsO8

An optimized crystal structure of NaIn2OsO8 (PBE, Alexandria).

Energy relative to the elements, uncorrected ... -1076 meV per atom
Total DFT energy (no corrections) ... -5.884 eV per atom
Volume ... 155 Å³ per cell

CIF file:
```
data_NaIn2OsO8
_chemical_formula_sum 'Na1 In2 Os1 O8'
_symmetry_space_group_name_H-M 'P 1 2/m 1'
_symmetry_Int_Tables_number 10
_symmetry_space_group_name_Hall '-P 2y'
_cell_length_a 4.5781
_cell_length_b 6.7501
_cell_length_c 5.0240
_cell_angle_alpha 90.00
_cell_angle_beta 92.09
_cell_angle_gamma 90.00
loop_
_atom_site_label
_atom_site_type_symbol
_atom_site_fract_x
_atom_site_fract_y
_atom_site_fract_z
_atom_site_occupancy
Na1 Na 0.0000 0.0000 0.0000 1
In1 In 0.5000 0.2513 0.5000 1
Os1 Os 0.0000 0.5000 0.0000 1
O1 O 0.2230 0.0000 0.4341 1
O2 O 0.2277 0.3046 0.8576 1
O3 O 0.2522 0.5000 0.3213 1
```

=====

Question: Number 4 is which compound?
Answer: NaInO2

=====

Question: The highest energy relative to the elements, uncorrected belongs to which entry?
Answer: number 1